[1]
# Cs2PtF6 PBEsol relaxed
data_Cs2PtF6
_chemical_formula_sum 'Cs2 Pt1 F6'
_cell_length_a 6.1667
_cell_length_b 6.1667
_cell_length_c 4.9879
_cell_angle_alpha 90.00
_cell_angle_beta 90.00
_cell_angle_gamma 120.00
_space_group_name_H-M_alt 'P -3 m 1'
_space_group_IT_number 164
_space_group_name_Hall '-P 3 2"'
loop_
_atom_site_label
_atom_site_type_symbol
_atom_site_fract_x
_atom_site_fract_y
_atom_site_fract_z
Cs1 Cs 0.3333 0.6667 0.2075
Pt1 Pt 0.0000 0.0000 0.5000
F1 F 0.1532 0.3065 0.7143
# Energy above the most stable polymorph in this dataset   0.008 eV/atom

=====

[2]
# Cs2PtF6 PBEsol relaxed
data_Cs2PtF6
_chemical_formula_sum 'Cs8 Pt4 F24'
_cell_length_a 8.943
_cell_length_b 8.943
_cell_length_c 8.943
_cell_angle_alpha 90.00
_cell_angle_beta 90.00
_cell_angle_gamma 90.00
_space_group_name_H-M_alt 'F m -3 m'
_space_group_IT_number 225
_space_group_name_Hall '-F 4 2 3'
loop_
_atom_site_label
_atom_site_type_symbol
_atom_site_fract_x
_atom_site_fract_y
_atom_site_fract_z
Cs1 Cs 0.250 0.250 0.250
Pt1 Pt 0.000 0.000 0.000
F1 F 0.000 0.000 0.218
# Energy above the most stable polymorph in this dataset   0.000 eV/atom

=====

[3]
Computed, not measured: crystalline Cs3PtF at its relaxed geometry at the PBEsol level of DFT.

```
data_Cs3PtF
_chemical_formula_sum 'Cs3 Pt1 F1'
_cell_length_a 5.571
_cell_length_b 5.571
_cell_length_c 5.571
_cell_angle_alpha 90.00
_cell_angle_beta 90.00
_cell_angle_gamma 90.00
_space_group_name_H-M_alt 'P m -3 m'
_space_group_IT_number 221
_space_group_name_Hall '-P 4 2 3'
loop_
_atom_site_label
_atom_site_type_symbol
_atom_site_fract_x
_atom_site_fract_y
_atom_site_fract_z
Cs1 Cs 0.000 0.000 0.500
Pt1 Pt 0.500 0.500 0.500
F1 F 0.000 0.000 0.000
```

=====

[4]
Computed, not measured: crystalline Cs2PtSeF at its relaxed geometry at the PBEsol level of DFT.

```
data_Cs2PtSeF
_chemical_formula_sum 'Cs2 Pt1 Se1 F1'
_cell_length_a 6.763
_cell_length_b 6.763
_cell_length_c 4.500
_cell_angle_alpha 90.00
_cell_angle_beta 90.00
_cell_angle_gamma 90.00
_space_group_name_H-M_alt 'P 4/m m m'
_space_group_IT_number 123
_space_group_name_Hall '-P 4 2'
loop_
_atom_site_label
_atom_site_type_symbol
_atom_site_fract_x
_atom_site_fract_y
_atom_site_fract_z
Cs1 Cs 0.000 0.500 0.000
Pt1 Pt 0.000 0.000 0.500
Se1 Se 0.000 0.000 0.000
F1 F 0.500 0.500 0.500
```

=====

[5]
Computed, not measured: crystalline Cs2RbF at its relaxed geometry at the PBEsol level of DFT.

```
data_Cs2RbF
_chemical_formula_sum 'Cs8 Rb4 F4'
_cell_length_a 9.142
_cell_length_b 9.142
_cell_length_c 12.909
_cell_angle_alpha 90.00
_cell_angle_beta 90.00
_cell_angle_gamma 90.00
_space_group_name_H-M_alt 'I -4 2 d'
_space_group_IT_number 122
_space_group_name_Hall 'I -4 2bw'
loop_
_atom_site_label
_atom_site_type_symbol
_atom_site_fract_x
_atom_site_fract_y
_atom_site_fract_z
Cs1 Cs 0.014 0.750 0.125
Rb1 Rb 0.000 0.000 0.500
F1 F 0.000 0.000 0.000
```

=====

[6]
Computed, not measured: crystalline Cs2RbSbF6 at its relaxed geometry at the PBEsol level of DFT.

```
data_Cs2RbSbF6
_chemical_formula_sum 'Cs8 Rb4 Sb4 F24'
_cell_length_a 9.638
_cell_length_b 9.638
_cell_length_c 9.638
_cell_angle_alpha 90.00
_cell_angle_beta 90.00
_cell_angle_gamma 90.00
_space_group_name_H-M_alt 'F m -3 m'
_space_group_IT_number 225
_space_group_name_Hall '-F 4 2 3'
loop_
_atom_site_label
_atom_site_type_symbol
_atom_site_fract_x
_atom_site_fract_y
_atom_site_fract_z
Cs1 Cs 0.250 0.250 0.250
Rb1 Rb 0.000 0.000 0.000
Sb1 Sb 0.000 0.000 0.500
F1 F 0.000 0.000 0.273
```

=====

We obtain E values of -4.46 -4.46 -3.30 -3.85 -2.51 -4.53 eV per atom for the records listed above, in that order.
We obtain raw formation energy values of -2.19 -2.20 -0.95 -0.93 -1.30 -2.63 eV per atom for the records listed above, in that order.